# 1
# ScOsRu

An optimized crystal structure of ScOsRu (PBE-GGA, Alexandria).

Summary:
Size of the total moment: 0.0000 μB per atom
Volume: 15.7 A^3/atom
Distance to the lowest polymorph of the same formula: 8.91 kcal/mol of atoms

a = 4.3980 Å, b = 4.3980 Å, c = 2.8072 Å
α = 90.00°, β = 90.00°, γ = 120.00°
Last column: nearest neighbours and their distance in Å.
Fractional coordinates of all 3 atoms:
1 Sc 0.0000 0.0000 0.0000  3 Ru 2.68, 3 Os 2.70, 2 Sc 2.81
2 Os 0.6667 0.3333 0.3262  3 Sc 2.70, 3 Ru 2.74, 2 Os 2.81
3 Ru 0.3333 0.6667 0.6945  3 Sc 2.68, 3 Os 2.74, 2 Ru 2.81

***

# 2
# CrHgPb

An optimized crystal structure of CrHgPb (PBE-GGA, Alexandria).

Summary:
Size of the total moment: 1.3590 μB per atom
Volume: 24.0 A^3/atom
Distance to the lowest polymorph of the same formula: 0.82 kcal/mol of atoms

a = 3.4625 Å, b = 3.4625 Å, c = 6.9323 Å
α = 90.00°, β = 90.00°, γ = 120.00°
Last column: nearest neighbours and their distance in Å.
Fractional coordinates of all 3 atoms:
1 Cr 0.0000 0.0000 0.0000  3 Hg 2.86, 3 Pb 3.00
2 Hg 0.6667 0.3333 0.2958  3 Cr 2.86
3 Pb 0.3333 0.6667 0.6770  3 Cr 3.00, 3 Hg 3.31

***

# 3
# Ba4Mg2N

An optimized crystal structure of Ba4Mg2N (PBE-GGA, Alexandria).

Summary:
Size of the total moment: 0.0014 μB per atom
Volume: 42.0 A^3/atom
Formation energy (no corrections): -43 kJ/mol of formula units

a = 9.8267 Å, b = 9.8267 Å, c = 9.8267 Å
α = 146.10°, β = 146.10°, γ = 48.70°
Last column: nearest neighbours and their distance in Å.
Fractional coordinates of all 7 atoms:
1 Ba 0.0000 0.5000 0.5000  2 N 2.86
2 Ba 0.1525 0.1525 0.0000  1 N 2.73
3 Ba 0.5000 0.0000 0.5000  2 N 2.86
4 Ba 0.8475 0.8475 0.0000  1 N 2.73
5 Mg 0.3612 0.3612 0.0000  9 Ba 3.74-4.06
6 Mg 0.6388 0.6388 0.0000  9 Ba 3.74-4.06
7 N 0.0000 0.0000 0.0000  6 Ba 2.73-2.86

***

# 4
# Ta2InNi

An optimized crystal structure of Ta2InNi (PBE-GGA, Alexandria).

Summary:
Size of the total moment: 0.0000 μB per atom
VASP energy: -31.82 eV/f.u.
Volume: 17.4 A^3/atom

a = 3.3463 Å, b = 3.3463 Å, c = 6.2265 Å
α = 90.00°, β = 90.00°, γ = 90.00°
Last column: nearest neighbours and their distance in Å.
Fractional coordinates of all 4 atoms:
1 Ta 0.0000 0.0000 0.0000  4 Ni 2.78, 4 Ta 2.78, 1 In 2.95
2 Ta 0.5000 0.5000 0.2354  4 Ta 2.78, 1 Ni 2.92, 4 In 2.98
3 In 0.0000 0.0000 0.5266  4 Ni 2.80, 5 Ta 2.95-2.98
4 Ni 0.5000 0.5000 0.7659  5 Ta 2.78-2.92, 4 In 2.80

***

# 5
# Cs3Y3HoTe8

An optimized crystal structure of Cs3Y3HoTe8 (PBE-GGA, Alexandria).

Summary:
Size of the total moment: 0.0000 μB per atom
Volume: 41.7 A^3/atom
Formation energy (no corrections): -1934 kJ/mol of formula units

a = 10.5431 Å, b = 10.5431 Å, c = 10.5431 Å
α = 49.60°, β = 49.60°, γ = 49.60°
Last column: nearest neighbours and their distance in Å.
Fractional coordinates of all 15 atoms:
1 Cs 0.0000 0.5000 0.5000  6 Te 3.83
2 Cs 0.5000 0.0000 0.5000  6 Te 3.83
3 Cs 0.5000 0.5000 0.0000  6 Te 3.83
4 Y 0.0000 0.0000 0.5000  6 Te 3.10
5 Y 0.0000 0.5000 0.0000  6 Te 3.10
6 Y 0.5000 0.0000 0.0000  6 Te 3.10
7 Ho 0.5000 0.5000 0.5000  6 Te 3.10
8 Te 0.2293 0.7305 0.7305  2 Y 3.10, 1 Ho 3.10
9 Te 0.2304 0.2304 0.2304  3 Y 3.10
10 Te 0.2695 0.2695 0.7707  2 Y 3.10, 1 Ho 3.10
11 Te 0.2695 0.7707 0.2695  2 Y 3.10, 1 Ho 3.10
12 Te 0.7305 0.2293 0.7305  2 Y 3.10, 1 Ho 3.10
13 Te 0.7305 0.7305 0.2293  2 Y 3.10, 1 Ho 3.10
14 Te 0.7696 0.7696 0.7696  3 Y 3.10
15 Te 0.7707 0.2695 0.2695  2 Y 3.10, 1 Ho 3.10

***

# 6
# MgAg4Cl6

An optimized crystal structure of MgAg4Cl6 (PBE-GGA, Alexandria).

Summary:
Size of the total moment: 0.0000 μB per atom
Volume: 26.9 A^3/atom
Formation energy (no corrections): -841 kJ/mol of formula units

a = 7.4501 Å, b = 7.4501 Å, c = 12.8301 Å
α = 105.59°, β = 105.59°, γ = 60.89°
Last column: nearest neighbours and their distance in Å.
Fractional coordinates of all 22 atoms:
1 Mg 0.2409 0.7591 0.5000  4 Cl 2.33-2.34
2 Mg 0.7591 0.2409 0.0000  4 Cl 2.33-2.34
3 Ag 0.9998 0.8449 0.7469  4 Cl 2.63-2.66
4 Ag 0.1641 0.3782 0.2415  4 Cl 2.61-2.71
5 Ag 0.3436 0.7870 0.0867  4 Cl 2.63-2.73
6 Ag 0.3782 0.1641 0.7415  4 Cl 2.61-2.71
7 Ag 0.6469 0.8631 0.4317  4 Cl 2.61-2.68
8 Ag 0.7870 0.3436 0.5867  4 Cl 2.63-2.73
9 Ag 0.8449 0.9998 0.2469  4 Cl 2.63-2.66
10 Ag 0.8631 0.6469 0.9317  4 Cl 2.61-2.68
11 Cl 0.0128 0.4863 0.7479  4 Ag 2.61-2.63
12 Cl 0.0451 0.5736 0.4364  1 Mg 2.33
13 Cl 0.0536 0.0822 0.4415  1 Mg 2.33
14 Cl 0.0822 0.0536 0.9415  1 Mg 2.33
15 Cl 0.0945 0.6609 0.1273  4 Ag 2.64-2.66
16 Cl 0.3344 0.8089 0.6900  1 Mg 2.33
17 Cl 0.4863 0.0128 0.2479  4 Ag 2.61-2.63
18 Cl 0.5511 0.5602 0.4278  1 Mg 2.34
19 Cl 0.5602 0.5511 0.9278  1 Mg 2.34
20 Cl 0.5736 0.0451 0.9364  1 Mg 2.33
21 Cl 0.6609 0.0945 0.6273  4 Ag 2.64-2.66
22 Cl 0.8089 0.3344 0.1900  1 Mg 2.33